No. 1
# Cs3Bi2Br9 PBEsol relaxed
# D(E_F) (states/eV/atom): 0.00
data_Cs3Bi2Br9
_chemical_formula_sum 'Cs3 Bi2 Br9'
_cell_length_a 7.9139
_cell_length_b 7.9139
_cell_length_c 9.7978
_cell_angle_alpha 90.00
_cell_angle_beta 90.00
_cell_angle_gamma 120.00
_symmetry_space_group_name_H-M 'P -3 m 1'
_symmetry_Int_Tables_number 164
_symmetry_space_group_name_Hall '-P 3 2"'
loop_
_atom_site_label
_atom_site_fract_x
_atom_site_fract_y
_atom_site_fract_z
Cs1 0.0000 0.0000 0.0000
Cs2 0.3333 0.6667 0.3398
Bi1 0.3333 0.6667 0.8098
Br1 0.0000 0.5000 0.0000
Br2 0.1650 0.3301 0.6600

=====

No. 2
DFT (PBEsol) results for an optimized crystal structure of Cs2CuBiBr6.

Cell and atoms, written as CIF:
```
data_Cs2CuBiBr6
_chemical_formula_sum 'Cs8 Cu4 Bi4 Br24'
_cell_length_a 10.896
_cell_length_b 10.896
_cell_length_c 10.896
_cell_angle_alpha 90.00
_cell_angle_beta 90.00
_cell_angle_gamma 90.00
_symmetry_space_group_name_H-M 'F m -3 m'
_symmetry_Int_Tables_number 225
_symmetry_space_group_name_Hall '-F 4 2 3'
loop_
_atom_site_label
_atom_site_fract_x
_atom_site_fract_y
_atom_site_fract_z
Cs1 0.250 0.250 0.250
Cu1 0.000 0.000 0.000
Bi1 0.000 0.000 0.500
Br1 0.000 0.000 0.238
```

=====

No. 3
DFT (PBEsol) results for an optimized crystal structure of Cs2InBiBr6.

Cell and atoms, written as CIF:
```
data_Cs2InBiBr6
_chemical_formula_sum 'Cs8 In4 Bi4 Br24'
_cell_length_a 11.635
_cell_length_b 11.635
_cell_length_c 11.635
_cell_angle_alpha 90.00
_cell_angle_beta 90.00
_cell_angle_gamma 90.00
_symmetry_space_group_name_H-M 'F m -3 m'
_symmetry_Int_Tables_number 225
_symmetry_space_group_name_Hall '-F 4 2 3'
loop_
_atom_site_label
_atom_site_fract_x
_atom_site_fract_y
_atom_site_fract_z
Cs1 0.250 0.250 0.250
In1 0.000 0.000 0.000
Bi1 0.000 0.000 0.500
Br1 0.000 0.000 0.255
```

=====

No. 4
# Cs2KBiBr6 PBEsol relaxed
# D(E_F) (states/eV/atom): 0.00
data_Cs2KBiBr6
_chemical_formula_sum 'Cs8 K4 Bi4 Br24'
_cell_length_a 11.789
_cell_length_b 11.789
_cell_length_c 11.789
_cell_angle_alpha 90.00
_cell_angle_beta 90.00
_cell_angle_gamma 90.00
_symmetry_space_group_name_H-M 'F m -3 m'
_symmetry_Int_Tables_number 225
_symmetry_space_group_name_Hall '-F 4 2 3'
loop_
_atom_site_label
_atom_site_fract_x
_atom_site_fract_y
_atom_site_fract_z
Cs1 0.250 0.250 0.250
K1 0.000 0.000 0.000
Bi1 0.000 0.000 0.500
Br1 0.000 0.000 0.260

=====

No. 5
# Cs2LiBiBr6 PBEsol relaxed
# D(E_F) (states/eV/atom): 0.00
data_Cs2LiBiBr6
_chemical_formula_sum 'Cs8 Li4 Bi4 Br24'
_cell_length_a 11.050
_cell_length_b 11.050
_cell_length_c 11.050
_cell_angle_alpha 90.00
_cell_angle_beta 90.00
_cell_angle_gamma 90.00
_symmetry_space_group_name_H-M 'F m -3 m'
_symmetry_Int_Tables_number 225
_symmetry_space_group_name_Hall '-F 4 2 3'
loop_
_atom_site_label
_atom_site_fract_x
_atom_site_fract_y
_atom_site_fract_z
Cs1 0.250 0.250 0.250
Li1 0.000 0.000 0.000
Bi1 0.000 0.000 0.500
Br1 0.000 0.000 0.244

=====

No. 6
# Cs2NaBiBr6 PBEsol relaxed
# D(E_F) (states/eV/atom): 0.00
data_Cs2NaBiBr6
_chemical_formula_sum 'Cs8 Na4 Bi4 Br24'
_cell_length_a 11.360
_cell_length_b 11.360
_cell_length_c 11.360
_cell_angle_alpha 90.00
_cell_angle_beta 90.00
_cell_angle_gamma 90.00
_symmetry_space_group_name_H-M 'F m -3 m'
_symmetry_Int_Tables_number 225
_symmetry_space_group_name_Hall '-F 4 2 3'
loop_
_atom_site_label
_atom_site_fract_x
_atom_site_fract_y
_atom_site_fract_z
Cs1 0.250 0.250 0.250
Na1 0.000 0.000 0.000
Bi1 0.000 0.000 0.500
Br1 0.000 0.000 0.251

=====

No. 7
# Cs2TlBiBr6 PBEsol relaxed
# D(E_F) (states/eV/atom): 0.00
data_Cs2TlBiBr6
_chemical_formula_sum 'Cs8 Tl4 Bi4 Br24'
_cell_length_a 11.769
_cell_length_b 11.769
_cell_length_c 11.769
_cell_angle_alpha 90.00
_cell_angle_beta 90.00
_cell_angle_gamma 90.00
_symmetry_space_group_name_H-M 'F m -3 m'
_symmetry_Int_Tables_number 225
_symmetry_space_group_name_Hall '-F 4 2 3'
loop_
_atom_site_label
_atom_site_fract_x
_atom_site_fract_y
_atom_site_fract_z
Cs1 0.250 0.250 0.250
Tl1 0.000 0.000 0.000
Bi1 0.000 0.000 0.500
Br1 0.000 0.000 0.259

=====

No. 8
# CuBi3Br PBEsol relaxed
# D(E_F) (states/eV/atom): 1.36
data_CuBi3Br
_chemical_formula_sum 'Cu1 Bi3 Br1'
_cell_length_a 5.591
_cell_length_b 5.591
_cell_length_c 5.591
_cell_angle_alpha 90.00
_cell_angle_beta 90.00
_cell_angle_gamma 90.00
_symmetry_space_group_name_H-M 'P m -3 m'
_symmetry_Int_Tables_number 221
_symmetry_space_group_name_Hall '-P 4 2 3'
loop_
_atom_site_label
_atom_site_fract_x
_atom_site_fract_y
_atom_site_fract_z
Cu1 0.000 0.000 0.000
Bi1 0.000 0.500 0.500
Br1 0.500 0.500 0.500

=====

No. 9
# CuBiSe2Br PBEsol relaxed
# D(E_F) (states/eV/atom): 0.49
data_CuBiSe2Br
_chemical_formula_sum 'Cu1 Bi1 Se2 Br1'
_cell_length_a 4.814
_cell_length_b 4.814
_cell_length_c 4.776
_cell_angle_alpha 90.00
_cell_angle_beta 90.00
_cell_angle_gamma 90.00
_symmetry_space_group_name_H-M 'P 4/m m m'
_symmetry_Int_Tables_number 123
_symmetry_space_group_name_Hall '-P 4 2'
loop_
_atom_site_label
_atom_site_fract_x
_atom_site_fract_y
_atom_site_fract_z
Cu1 0.000 0.000 0.000
Bi1 0.500 0.500 0.500
Se1 0.000 0.500 0.000
Br1 0.000 0.000 0.500

=====

No. 10
DFT (PBEsol) results for an optimized crystal structure of DyBi2BrO4.

Cell and atoms, written as CIF:
```
data_DyBi2BrO4
_chemical_formula_sum 'Dy1 Bi2 Br1 O4'
_cell_length_a 3.864
_cell_length_b 3.864
_cell_length_c 9.077
_cell_angle_alpha 90.00
_cell_angle_beta 90.00
_cell_angle_gamma 90.00
_symmetry_space_group_name_H-M 'P 4/m m m'
_symmetry_Int_Tables_number 123
_symmetry_space_group_name_Hall '-P 4 2'
loop_
_atom_site_label
_atom_site_fract_x
_atom_site_fract_y
_atom_site_fract_z
Dy1 0.000 0.000 0.000
Bi1 0.500 0.500 0.273
Br1 0.000 0.000 0.500
O1 0.000 0.500 0.150
```

=====

No. 11
# EuBi2BrO4 PBEsol relaxed
# D(E_F) (states/eV/atom): 0.96
data_EuBi2BrO4
_chemical_formula_sum 'Eu1 Bi2 Br1 O4'
_cell_length_a 3.897
_cell_length_b 3.897
_cell_length_c 9.156
_cell_angle_alpha 90.00
_cell_angle_beta 90.00
_cell_angle_gamma 90.00
_symmetry_space_group_name_H-M 'P 4/m m m'
_symmetry_Int_Tables_number 123
_symmetry_space_group_name_Hall '-P 4 2'
loop_
_atom_site_label
_atom_site_fract_x
_atom_site_fract_y
_atom_site_fract_z
Eu1 0.000 0.000 0.000
Bi1 0.500 0.500 0.276
Br1 0.000 0.000 0.500
O1 0.000 0.500 0.156

=====

No. 12
# Bi2BrF PBEsol relaxed
# D(E_F) (states/eV/atom): 0.26
data_Bi2BrF
_chemical_formula_sum 'Bi8 Br4 F4'
_cell_length_a 4.691
_cell_length_b 4.691
_cell_length_c 18.757
_cell_angle_alpha 90.00
_cell_angle_beta 90.00
_cell_angle_gamma 90.00
_symmetry_space_group_name_H-M 'I -4 2 d'
_symmetry_Int_Tables_number 122
_symmetry_space_group_name_Hall 'I -4 2bw'
loop_
_atom_site_label
_atom_site_fract_x
_atom_site_fract_y
_atom_site_fract_z
Bi1 0.207 0.250 0.125
Br1 0.000 0.000 0.500
F1 0.000 0.000 0.000

=====

We obtain energy relative to the elements, uncorrected values of -1.235; -1.084; -1.167; -1.362; -1.355; -1.349; -1.186; 1.198; 0.041; -2.042; -1.796; -0.701 eV per atom for the records listed above, in that order.
We obtain total magnetic moment values of 0.00; 0.00; 0.00; 0.00; 0.00; 0.00; 0.00; 0.00; 0.00; 0.00; 6.00; 0.00 μB per formula unit for the records listed above, in that order.